Entry 1:
Material: PrTm3In3
Method: DFT, GGA-PBE
State: optimized geometry

POSCAR file:
```
PrTm3In3
1.0
5.1676 0.0000 0.0000
0.0000 9.3585 0.0000
0.0000 -4.6792 8.1047
Pr Tm In
2 6 6
direct
0.2500 0.6667 0.3333
0.7500 0.3333 0.6667
0.2500 0.7723 0.7709
0.2500 0.2291 0.0013
0.2500 0.9987 0.2277
0.7500 0.2277 0.2291
0.7500 0.7709 0.9987
0.7500 0.0013 0.7723
0.7500 0.6198 0.5495
0.7500 0.4505 0.0703
0.7500 0.9297 0.3802
0.2500 0.3802 0.4505
0.2500 0.5495 0.9297
0.2500 0.0703 0.6198
```

Calculated values
- ρ: 8.41 g cm⁻³
- Fermi-level density of states: 6.09 states/eV/f.u.
- Space group: No. 176
- Energy above the most stable polymorph in this dataset: 0.000 eV per atom
- Formation energy: -354 meV/atom



Entry 2:
Material: Pr3TmIn2
Method: DFT, GGA-PBE
State: optimized geometry

POSCAR file:
```
Pr3TmIn2
1.0
-0.4913 -1.8400 2.8535
1.4423 -4.8921 -2.9061
8.7234 4.6467 2.4360
Pr Tm In
3 1 2
direct
0.0000 0.5000 0.0000
0.8211 0.8211 0.6423
0.1789 0.1789 0.3577
0.0000 0.0000 0.0000
0.6496 0.6496 0.2991
0.3504 0.3504 0.7009
```

Calculated values
- ρ: 7.06 g cm⁻³
- Fermi-level density of states: 6.88 states/eV/f.u.
- Space group: No. 71
- Energy above the most stable polymorph in this dataset: 0.388 eV per atom
- Formation energy: 45 meV/atom



Entry 3:
Material: Pr2Tm2In5
Method: DFT, GGA-PBE
State: optimized geometry

POSCAR file:
```
Pr2Tm2In5
1.0
8.0157 0.0000 0.0000
0.0000 7.9824 0.0000
0.0000 -3.9912 8.3553
Pr Tm In
4 4 10
direct
0.0000 0.1994 0.3987
0.5000 0.6994 0.3987
0.0000 0.8006 0.6013
0.5000 0.3006 0.6013
0.6582 0.8431 0.0000
0.3418 0.1569 0.0000
0.1582 0.6569 0.0000
0.8418 0.3431 0.0000
0.0000 0.0000 0.0000
0.5000 0.5000 0.0000
0.8618 0.7661 0.2525
0.1382 0.4864 0.2525
0.3618 0.9864 0.2525
0.6382 0.2661 0.2525
0.1382 0.2339 0.7475
0.8618 0.5136 0.7475
0.6382 0.0136 0.7475
0.3618 0.7339 0.7475
```

Calculated values
- ρ: 7.42 g cm⁻³
- Fermi-level density of states: 6.03 states/eV/f.u.
- Space group: No. 64
- Formation energy: -298 meV/atom



Q: Which of these has the lowest ρ?
A: Pr3TmIn2



Please write out number 1 again, unchanged.
Material: PrTm3In3
Method: DFT, GGA-PBE
State: optimized geometry

POSCAR file:
```
PrTm3In3
1.0
5.1676 0.0000 0.0000
0.0000 9.3585 0.0000
0.0000 -4.6792 8.1047
Pr Tm In
2 6 6
direct
0.2500 0.6667 0.3333
0.7500 0.3333 0.6667
0.2500 0.7723 0.7709
0.2500 0.2291 0.0013
0.2500 0.9987 0.2277
0.7500 0.2277 0.2291
0.7500 0.7709 0.9987
0.7500 0.0013 0.7723
0.7500 0.6198 0.5495
0.7500 0.4505 0.0703
0.7500 0.9297 0.3802
0.2500 0.3802 0.4505
0.2500 0.5495 0.9297
0.2500 0.0703 0.6198
```

Calculated values
- ρ: 8.41 g cm⁻³
- Fermi-level density of states: 6.09 states/eV/f.u.
- Space group: No. 176
- Energy above the most stable polymorph in this dataset: 0.000 eV per atom
- Formation energy: -354 meV/atom



Q: Among the records above, which one has the highest ρ?
A: PrTm3In3



Q: The lowest formation energy belongs to which entry?
A: PrTm3In3